Here is a geometry-optimized Gd4IBrN2 structure from OQMD. Energies are from GGA-PBE.

Geometry as POSCAR:
```
Gd4IBrN2
1.0
3.659 0.000 0.000
-1.829 3.168 0.000
0.000 0.000 14.406
Gd I Br N
4 1 1 2
Direct
0.000 0.000 0.157
0.000 0.000 0.843
0.667 0.333 0.332
0.667 0.333 0.668
0.000 0.000 0.500
0.667 0.333 0.000
0.333 0.667 0.240
0.333 0.667 0.760
```

Computed properties:
E_tot, eV per atom: -6.151
Space-group type: No. 187

***

Here is a geometry-optimized Na2TcTe3 structure from OQMD. Energies are from GGA-PBE.

Geometry as POSCAR:
```
Na2TcTe3
1.0
3.668 -6.269 0.000
3.668 6.269 0.000
-2.431 0.000 7.410
Na Tc Te
4 2 6
Direct
0.000 0.000 0.000
0.149 0.851 0.500
0.500 0.500 0.500
0.851 0.149 0.500
0.327 0.673 0.000
0.673 0.327 0.000
0.073 0.454 0.212
0.311 0.311 0.798
0.454 0.073 0.212
0.546 0.927 0.788
0.689 0.689 0.202
0.927 0.546 0.788
```

Computed properties:
E_tot, eV per atom: -4.110
Space-group type: No. 12

***

Here is a geometry-optimized YScNiB structure from OQMD. Energies are from GGA-PBE.

Geometry as POSCAR:
```
YScNiB
1.0
0.000 3.201 3.201
3.201 0.000 3.201
3.201 3.201 0.000
Y Sc Ni B
1 1 1 1
Direct
0.000 0.000 0.000
0.500 0.500 0.500
0.750 0.750 0.750
0.250 0.250 0.250
```

Computed properties:
E above lowest polymorph, meV/atom: 0
E_tot, eV per atom: -6.354
Space-group type: No. 216

***

Here is a geometry-optimized LiHfPd structure from OQMD. Energies are from GGA-PBE.

Geometry as POSCAR:
```
LiHfPd
1.0
0.000 3.099 3.099
3.099 0.000 3.099
3.099 3.099 0.000
Li Hf Pd
1 1 1
Direct
0.000 0.000 0.000
0.250 0.250 0.250
0.500 0.500 0.500
```

Computed properties:
E above lowest polymorph, meV/atom: 343
E_tot, eV per atom: -5.453
Space-group type: No. 216

***

Here is a geometry-optimized SiMo4AuC2 structure from OQMD. Energies are from GGA-PBE.

Geometry as POSCAR:
```
SiMo4AuC2
1.0
3.117 0.000 0.000
-1.559 2.700 0.000
0.000 0.000 12.933
Si Mo Au C
1 4 1 2
Direct
0.000 0.000 0.000
0.000 0.000 0.320
0.000 0.000 0.680
0.667 0.333 0.144
0.667 0.333 0.856
0.667 0.333 0.500
0.333 0.667 0.239
0.333 0.667 0.761
```

Computed properties:
E_tot, eV per atom: -8.853
Space-group type: No. 187

***

Here is a geometry-optimized HoZrSi2 structure from OQMD. Energies are from GGA-PBE.

Geometry as POSCAR:
```
HoZrSi2
1.0
3.806 0.000 0.000
0.000 1.991 5.120
0.000 -1.991 5.120
Ho Zr Si
1 1 2
Direct
0.000 0.000 0.000
0.500 0.717 0.717
0.000 0.276 0.276
0.500 0.433 0.433
```

Computed properties:
E above lowest polymorph, meV/atom: 17
E_tot, eV per atom: -6.830
Space-group type: No. 38

***

Here is a geometry-optimized Ga2Fe3W2 structure from OQMD. Energies are from GGA-PBE.

Geometry as POSCAR:
```
Ga2Fe3W2
1.0
2.039 1.177 6.585
-2.039 1.177 6.585
0.000 -2.355 6.585
Ga Fe W
2 3 2
Direct
0.000 0.000 0.000
0.489 0.489 0.489
0.366 0.366 0.366
0.619 0.619 0.619
0.870 0.870 0.870
0.239 0.239 0.239
0.747 0.747 0.747
```

Computed properties:
E_tot, eV per atom: -8.164
Space-group type: No. 160

***

Here is a geometry-optimized Zr3AlCd2NiIr2 structure from OQMD. Energies are from GGA-PBE.

Geometry as POSCAR:
```
Zr3AlCd2NiIr2
1.0
3.443 0.000 0.000
0.000 6.399 3.702
0.000 -6.399 3.702
Zr Al Cd Ni Ir
3 1 2 1 2
Direct
0.000 0.000 0.000
0.000 0.426 0.823
0.000 0.823 0.426
0.500 0.676 0.676
0.500 0.166 0.414
0.500 0.414 0.166
0.000 0.457 0.457
0.500 0.071 0.746
0.500 0.746 0.071
```

Computed properties:
E_tot, eV per atom: -6.629
Space-group type: No. 38

***

Here is a geometry-optimized ZnAg2Pd structure from OQMD. Energies are from GGA-PBE.

Geometry as POSCAR:
```
ZnAg2Pd
1.0
0.000 3.198 3.198
3.198 0.000 3.198
3.198 3.198 0.000
Zn Ag Pd
1 2 1
Direct
0.000 0.000 0.000
0.250 0.250 0.250
0.500 0.500 0.500
0.750 0.750 0.750
```

Computed properties:
E_form, eV/atom: -0.157
E_tot, eV per atom: -3.180
Space-group type: No. 216

***

Here is a geometry-optimized InNi structure from OQMD. Energies are from GGA-PBE.

Geometry as POSCAR:
```
InNi
1.0
3.147 0.000 0.000
0.000 3.147 0.000
0.000 0.000 3.147
In Ni
1 1
Direct
0.000 0.000 0.000
0.500 0.500 0.500
```

Computed properties:
E_tot, eV per atom: -4.258
Space-group type: No. 221

***

Here is a geometry-optimized FeCoReSn structure from OQMD. Energies are from GGA-PBE.

Geometry as POSCAR:
```
FeCoReSn
1.0
0.000 3.038 3.038
3.038 0.000 3.038
3.038 3.038 0.000
Fe Co Re Sn
1 1 1 1
Direct
0.000 0.000 0.000
0.500 0.500 0.500
0.750 0.750 0.750
0.250 0.250 0.250
```

Computed properties:
E above lowest polymorph, meV/atom: 0
E_tot, eV per atom: -7.673
Space-group type: No. 216

***

Here is a geometry-optimized W2C structure from OQMD. Energies are from GGA-PBE.

Geometry as POSCAR:
```
W2C
1.0
3.060 0.000 0.000
-1.530 2.650 0.000
0.000 0.000 4.687
W C
2 1
Direct
0.333 0.667 0.254
0.667 0.333 0.746
0.000 0.000 0.000
```

Computed properties:
E_tot, eV per atom: -11.660
Space-group type: No. 164

***

Here is a geometry-optimized Ge2BiMo structure from OQMD. Energies are from GGA-PBE.

Geometry as POSCAR:
```
Ge2BiMo
1.0
0.000 3.425 3.425
3.425 0.000 3.425
3.425 3.425 0.000
Ge Bi Mo
2 1 1
Direct
0.000 0.000 0.000
0.250 0.250 0.250
0.500 0.500 0.500
0.750 0.750 0.750
```

Computed properties:
E_tot, eV per atom: -5.339
Space-group type: No. 216

***

Here is a geometry-optimized GaCu2Pt structure from OQMD. Energies are from GGA-PBE.

Geometry as POSCAR:
```
GaCu2Pt
1.0
0.000 3.008 3.008
3.008 0.000 3.008
3.008 3.008 0.000
Ga Cu Pt
1 2 1
Direct
0.000 0.000 0.000
0.500 0.500 0.500
0.750 0.750 0.750
0.250 0.250 0.250
```

Computed properties:
E_tot, eV per atom: -4.424
Space-group type: No. 216

***

Here is a geometry-optimized MgSbPt structure from OQMD. Energies are from GGA-PBE.

Geometry as POSCAR:
```
MgSbPt
1.0
7.285 0.000 0.000
-3.642 6.309 0.000
0.000 0.000 3.880
Mg Sb Pt
3 3 3
Direct
0.000 0.607 0.000
0.393 0.393 0.000
0.607 0.000 0.000
0.000 0.273 0.500
0.273 0.000 0.500
0.727 0.727 0.500
0.000 0.000 0.000
0.333 0.667 0.500
0.667 0.333 0.500
```

Computed properties:
E_tot, eV per atom: -4.504
Space-group type: No. 189

***

Here is a geometry-optimized AlBiAu structure from OQMD. Energies are from GGA-PBE.

Geometry as POSCAR:
```
AlBiAu
1.0
0.000 3.299 3.299
3.299 0.000 3.299
3.299 3.299 0.000
Al Bi Au
1 1 1
Direct
0.000 0.000 0.000
0.250 0.250 0.250
0.750 0.750 0.750
```

Computed properties:
E above lowest polymorph, meV/atom: 0
E_tot, eV per atom: -3.665
Space-group type: No. 216

***

Here is a geometry-optimized MgCuBMo structure from OQMD. Energies are from GGA-PBE.

Geometry as POSCAR:
```
MgCuBMo
1.0
0.000 2.925 2.925
2.925 0.000 2.925
2.925 2.925 0.000
Mg Cu B Mo
1 1 1 1
Direct
0.000 0.000 0.000
0.750 0.750 0.750
0.500 0.500 0.500
0.250 0.250 0.250
```

Computed properties:
E above lowest polymorph, meV/atom: 0
E_tot, eV per atom: -4.966
Space-group type: No. 216

***

Here is a geometry-optimized CoTcBi2 structure from OQMD. Energies are from GGA-PBE.

Geometry as POSCAR:
```
CoTcBi2
1.0
0.000 3.433 3.433
3.433 0.000 3.433
3.433 3.433 0.000
Co Tc Bi
1 1 2
Direct
0.000 0.000 0.000
0.750 0.750 0.750
0.250 0.250 0.250
0.500 0.500 0.500
```

Computed properties:
E above lowest polymorph, meV/atom: 0
E_tot, eV per atom: -5.376
Space-group type: No. 216

***

Here is a geometry-optimized NbAlZn2 structure from OQMD. Energies are from GGA-PBE.

Geometry as POSCAR:
```
NbAlZn2
1.0
3.910 0.000 0.000
0.000 3.910 0.000
0.000 0.000 4.005
Nb Al Zn
1 1 2
Direct
0.000 0.000 0.000
0.500 0.500 0.000
0.000 0.500 0.500
0.500 0.000 0.500
```

Computed properties:
E_tot, eV per atom: -4.374
Space-group type: No. 123

***

Here is a geometry-optimized MgNbTlCu structure from OQMD. Energies are from GGA-PBE.

Geometry as POSCAR:
```
MgNbTlCu
1.0
0.000 3.317 3.317
3.317 0.000 3.317
3.317 3.317 0.000
Mg Nb Tl Cu
1 1 1 1
Direct
0.000 0.000 0.000
0.750 0.750 0.750
0.250 0.250 0.250
0.500 0.500 0.500
```

Computed properties:
E above lowest polymorph, meV/atom: 8
E_tot, eV per atom: -3.929
Space-group type: No. 216

***

Here is a geometry-optimized NdTeS3 structure from OQMD. Energies are from GGA-PBE.

Geometry as POSCAR:
```
NdTeS3
1.0
7.858 0.000 0.000
0.000 7.444 0.000
0.000 0.000 10.081
Nd Te S
4 4 12
Direct
0.143 0.250 0.130
0.357 0.750 0.630
0.643 0.250 0.370
0.857 0.750 0.870
0.117 0.250 0.770
0.383 0.750 0.270
0.617 0.250 0.730
0.883 0.750 0.230
0.048 0.565 0.683
0.048 0.935 0.683
0.114 0.750 0.065
0.386 0.250 0.565
0.452 0.065 0.183
0.452 0.435 0.183
0.548 0.565 0.817
0.548 0.935 0.817
0.614 0.750 0.435
0.886 0.250 0.935
0.952 0.065 0.317
0.952 0.435 0.317
```

Computed properties:
E_tot, eV per atom: -4.871
Space-group type: No. 62

***

Here is a geometry-optimized LiZrPa structure from OQMD. Energies are from GGA-PBE.

Geometry as POSCAR:
```
LiZrPa
1.0
0.000 3.249 3.249
3.249 0.000 3.249
3.249 3.249 0.000
Li Zr Pa
1 1 1
Direct
0.000 0.000 0.000
0.250 0.250 0.250
0.500 0.500 0.500
```

Computed properties:
E above lowest polymorph, meV/atom: 0
E_tot, eV per atom: -5.614
Space-group type: No. 216

***

Here is a geometry-optimized Dy4Si3Ni structure from OQMD. Energies are from GGA-PBE.

Geometry as POSCAR:
```
Dy4Si3Ni
1.0
5.727 0.000 0.000
0.000 3.862 0.000
-0.141 0.000 7.764
Dy Si Ni
4 3 1
Direct
0.000 0.000 0.000
0.241 0.500 0.376
0.506 0.500 0.871
0.750 0.000 0.534
0.245 0.000 0.659
0.498 0.000 0.160
0.750 0.500 0.237
0.008 0.500 0.729
```

Computed properties:
E_tot, eV per atom: -5.756
Space-group type: No. 6

***

Here is a geometry-optimized Li2Mg2In2CuPt structure from OQMD. Energies are from GGA-PBE.

Geometry as POSCAR:
```
Li2Mg2In2CuPt
1.0
4.561 0.000 0.000
0.000 4.561 0.000
0.000 0.000 6.459
Li Mg In Cu Pt
2 2 2 1 1
Direct
0.000 0.000 0.000
0.500 0.500 0.500
0.000 0.500 0.245
0.500 0.000 0.755
0.000 0.500 0.744
0.500 0.000 0.256
0.000 0.000 0.500
0.500 0.500 0.000
```

Computed properties:
E_tot, eV per atom: -3.191
Space-group type: No. 115

***

Here is a geometry-optimized Li2LaCdIn2Ag2 structure from OQMD. Energies are from GGA-PBE.

Geometry as POSCAR:
```
Li2LaCdIn2Ag2
1.0
4.885 0.000 0.000
0.000 4.885 0.000
0.000 0.000 7.212
Li La Cd In Ag
2 1 1 2 2
Direct
0.000 0.500 0.205
0.500 0.000 0.795
0.000 0.000 0.500
0.500 0.500 0.000
0.000 0.000 0.000
0.500 0.500 0.500
0.000 0.500 0.772
0.500 0.000 0.228
```

Computed properties:
E_tot, eV per atom: -2.843
Space-group type: No. 115

***

Here is a geometry-optimized Ir2S3 structure from OQMD. Energies are from GGA-PBE.

Geometry as POSCAR:
```
Ir2S3
1.0
6.196 -2.438 0.000
6.196 2.438 0.000
-3.820 0.000 5.742
Ir S
4 6
Direct
0.001 0.999 0.500
0.133 0.542 0.587
0.542 0.133 0.087
0.999 0.001 0.000
0.100 0.203 0.901
0.203 0.100 0.401
0.450 0.459 0.955
0.459 0.450 0.455
0.762 0.776 0.765
0.776 0.762 0.265
```

Computed properties:
E above lowest polymorph, meV/atom: 298
E_tot, eV per atom: -6.078
Space-group type: No. 9

***

Here is a geometry-optimized PmYPO structure from OQMD. Energies are from GGA-PBE.

Geometry as POSCAR:
```
PmYPO
1.0
4.335 0.000 0.000
0.000 4.335 0.000
0.000 0.000 8.774
Pm Y P O
2 2 2 2
Direct
0.250 0.750 0.000
0.750 0.250 0.000
0.250 0.250 0.401
0.750 0.750 0.599
0.250 0.250 0.794
0.750 0.750 0.206
0.250 0.750 0.500
0.750 0.250 0.500
```

Computed properties:
E above lowest polymorph, meV/atom: 162
E_tot, eV per atom: -7.206
Space-group type: No. 129